A relaxed KTa2W crystal. Source: Alexandria, functional PBE.

a = 2.777 Å, b = 2.777 Å, c = 11.044 Å
α = 90.00°, β = 90.00°, γ = 90.00°
Element x y z (fractional)
1 K 0.000 0.000 0.000
2 Ta 0.000 0.000 0.513
3 Ta 0.500 0.500 0.305
4 W 0.500 0.500 0.720

## Properties
Energy of formation from the pure elements, meV per atom: 839
Total moment, μB per formula unit: 0.00
Energy above the lowest structure with this stoichiometry, meV per atom: 220.0
Symmetry: P4mm, No. 99